# 1
Pm4Pr5Tm2 | Alexandria via LeMat-Bulk | PBE | optimized geometry; energy of formation = 236 kJ/mol of formula units; total magnetization = 0.0000 μB per atom; total energy = -0.330 Ry per atom
1.0
3.543 0.000 0.000
0.000 9.478 0.000
-1.772 -4.739 11.731
Tm Pr Pm
2 5 4
Cartesian
0.000 0.000 6.338
1.772 4.739 5.393
0.000 7.517 3.558
0.000 1.960 3.558
1.772 -2.778 8.174
1.772 0.000 0.000
1.772 2.778 8.174
1.772 4.739 2.252
0.000 0.000 9.479
0.000 6.626 0.000
0.000 2.852 0.000

# 2
CoOsCl2 | Alexandria via LeMat-Bulk | PBE | optimized geometry; total magnetization = 0.2496 μB per atom; total energy = -0.356 Ry per atom; E_form (uncorrected) = 2.7 eV per formula unit
1.0
6.610 0.163 -0.196
5.885 3.015 -0.196
0.689 0.175 5.279
Co Cl Os
1 2 1
Cartesian
7.335 1.865 1.376
12.207 3.104 0.282
9.868 2.510 3.354
2.861 0.728 1.928